The following is a DFT calculation (PBE) of a relaxed Ba3Zn2Pd4 crystal.

Summary:
ΔH_f (0 K): -0.438 eV per atom
distance to the lowest polymorph of the same formula: 7.2 kJ/mol of atoms
total DFT energy (no corrections): -0.13488 Ha/atom

Unit cell a=4.5391 b=4.5391 c=27.8857 alpha=90.00 beta=90.00 gamma=120.00
Positions (direct):
Ba: 0.3333 0.6667 0.9161
Ba: 0.3333 0.6667 0.7456
Zn: 0.0000 0.0000 0.8307
Pd: 0.6667 0.3333 0.5026
Ba: 0.3333 0.6667 0.0723
Zn: 0.6667 0.3333 0.1667
Zn: 0.0000 0.0000 0.1667
Pd: 0.0000 0.0000 0.9947
Pd: 0.6667 0.3333 0.9951
Pd: 0.6667 0.3333 0.3382
Pd: 0.6667 0.3333 0.6666
Ba: 0.3333 0.6667 0.5877
Ba: 0.3333 0.6667 0.2610
Pd: 0.0000 0.0000 0.3386
Zn: 0.0000 0.0000 0.5027
Ba: 0.3333 0.6667 0.4173
Pd: 0.0000 0.0000 0.6666
Pd: 0.6667 0.3333 0.8308